Record 1
# GeAsSe (GGA-PBEsol, relaxed)
# - E_form (uncorrected): -140 meV per atom
# - Space-group type: Pnna, No. 52
# - E_tot: -114.532 eV per cell
data_GeAsSe
_symmetry_space_group_name_H-M 'P 1'
_symmetry_Int_Tables_number 1
_cell_length_a 5.094
_cell_length_b 10.161
_cell_length_c 11.565
_cell_angle_alpha 90.00
_cell_angle_beta 90.00
_cell_angle_gamma 90.00
loop_
_symmetry_equiv_pos_as_xyz
'x,y,z'
loop_
_atom_site_label
_atom_site_fract_x
_atom_site_fract_y
_atom_site_fract_z
_atom_site_occupancy
Ge1 0.204 0.250 0.250 1
Ge2 0.250 0.000 0.736 1
Ge3 0.250 0.500 0.764 1
Ge4 0.296 0.750 0.250 1
Ge5 0.704 0.250 0.750 1
Ge6 0.750 0.000 0.264 1
Ge7 0.750 0.500 0.236 1
Ge8 0.796 0.750 0.750 1
As1 0.078 0.586 0.375 1
As2 0.078 0.914 0.125 1
As3 0.422 0.086 0.125 1
As4 0.422 0.414 0.375 1
As5 0.578 0.586 0.625 1
As6 0.578 0.914 0.875 1
As7 0.922 0.086 0.875 1
As8 0.922 0.414 0.625 1
Se1 0.078 0.659 0.894 1
Se2 0.078 0.841 0.606 1
Se3 0.422 0.159 0.606 1
Se4 0.422 0.341 0.894 1
Se5 0.578 0.659 0.106 1
Se6 0.578 0.841 0.394 1
Se7 0.922 0.159 0.394 1
Se8 0.922 0.341 0.106 1


Record 2
# TaGeAs2Se (GGA-PBEsol, relaxed)
# - E_form (uncorrected): 1091 meV per atom
# - Space-group type: P4/mmm, No. 123
# - E_tot: -26.099 eV per cell
# - Density of states at the Fermi level: 4.884 states/eV/cell
data_TaGeAs2Se
_symmetry_space_group_name_H-M 'P 1'
_symmetry_Int_Tables_number 1
_cell_length_a 4.696
_cell_length_b 4.696
_cell_length_c 4.818
_cell_angle_alpha 90.00
_cell_angle_beta 90.00
_cell_angle_gamma 90.00
loop_
_symmetry_equiv_pos_as_xyz
'x,y,z'
loop_
_atom_site_label
_atom_site_fract_x
_atom_site_fract_y
_atom_site_fract_z
_atom_site_occupancy
Ta1 0.000 0.000 0.000 1
Ge1 0.500 0.500 0.500 1
As1 0.000 0.500 0.500 1
As2 0.500 0.000 0.500 1
Se1 0.500 0.500 0.000 1


Record 3
# SiGeAs2 (GGA-PBEsol, relaxed)
# - E_form (uncorrected): 366 meV per atom
# - Space-group type: Fm-3m, No. 225
# - E_tot: -19.434 eV per cell
# - Density of states at the Fermi level: 1.755 states/eV/cell
# - Relative energy among the computed polymorphs: 16.9 kJ per mole of atoms
data_SiGeAs2
_symmetry_space_group_name_H-M 'P 1'
_symmetry_Int_Tables_number 1
_cell_length_a 4.610
_cell_length_b 4.610
_cell_length_c 4.610
_cell_angle_alpha 60.00
_cell_angle_beta 60.00
_cell_angle_gamma 60.00
loop_
_symmetry_equiv_pos_as_xyz
'x,y,z'
loop_
_atom_site_label
_atom_site_fract_x
_atom_site_fract_y
_atom_site_fract_z
_atom_site_occupancy
Si1 0.000 0.000 0.000 1
Ge1 0.500 0.500 0.500 1
As1 0.250 0.250 0.250 1
As2 0.750 0.750 0.750 1


Record 4
# SiGeAs2 (GGA-PBEsol, relaxed)
# - E_form (uncorrected): 191 meV per atom
# - Space-group type: I-42d, No. 122
# - E_tot: -40.272 eV per cell
# - Density of states at the Fermi level: 2.839 states/eV/cell
# - Relative energy among the computed polymorphs: 0.0 kJ per mole of atoms
data_SiGeAs2
_symmetry_space_group_name_H-M 'P 1'
_symmetry_Int_Tables_number 1
_cell_length_a 6.223
_cell_length_b 6.223
_cell_length_c 6.223
_cell_angle_alpha 118.50
_cell_angle_beta 118.50
_cell_angle_gamma 92.61
loop_
_symmetry_equiv_pos_as_xyz
'x,y,z'
loop_
_atom_site_label
_atom_site_fract_x
_atom_site_fract_y
_atom_site_fract_z
_atom_site_occupancy
Si1 0.000 0.000 0.000 1
Si2 0.750 0.250 0.500 1
Ge1 0.250 0.750 0.500 1
Ge2 0.500 0.500 0.000 1
As1 0.096 0.125 0.471 1
As2 0.375 0.904 0.029 1
As3 0.654 0.625 0.529 1
As4 0.875 0.346 0.971 1


Record 5
# SnGeAs3 (GGA-PBEsol, relaxed)
# - Space-group type: Pm-3m, No. 221
# - E_tot: -21.560 eV per cell
# - Density of states at the Fermi level: 3.819 states/eV/cell
data_SnGeAs3
_symmetry_space_group_name_H-M 'P 1'
_symmetry_Int_Tables_number 1
_cell_length_a 4.899
_cell_length_b 4.899
_cell_length_c 4.899
_cell_angle_alpha 90.00
_cell_angle_beta 90.00
_cell_angle_gamma 90.00
loop_
_symmetry_equiv_pos_as_xyz
'x,y,z'
loop_
_atom_site_label
_atom_site_fract_x
_atom_site_fract_y
_atom_site_fract_z
_atom_site_occupancy
Sn1 0.000 0.000 0.000 1
Ge1 0.500 0.500 0.500 1
As1 0.000 0.500 0.500 1
As2 0.500 0.000 0.500 1
As3 0.500 0.500 0.000 1


Record 6
# Sr3Ge2As4 (GGA-PBEsol, relaxed)
# - Space-group type: P2_1/c, No. 14
# - E_tot: -172.042 eV per cell
data_Sr3Ge2As4
_symmetry_space_group_name_H-M 'P 1'
_symmetry_Int_Tables_number 1
_cell_length_a 7.588
_cell_length_b 18.425
_cell_length_c 7.435
_cell_angle_alpha 90.00
_cell_angle_beta 111.81
_cell_angle_gamma 90.00
loop_
_symmetry_equiv_pos_as_xyz
'x,y,z'
loop_
_atom_site_label
_atom_site_fract_x
_atom_site_fract_y
_atom_site_fract_z
_atom_site_occupancy
Sr1 0.218 0.184 0.012 1
Sr2 0.218 0.316 0.512 1
Sr3 0.255 0.062 0.512 1
Sr4 0.255 0.438 0.012 1
Sr5 0.261 0.560 0.503 1
Sr6 0.261 0.940 0.003 1
Sr7 0.739 0.060 0.997 1
Sr8 0.739 0.440 0.497 1
Sr9 0.745 0.562 0.988 1
Sr10 0.745 0.938 0.488 1
Sr11 0.782 0.684 0.488 1
Sr12 0.782 0.816 0.988 1
Ge1 0.211 0.628 0.028 1
Ge2 0.211 0.872 0.528 1
Ge3 0.314 0.740 0.914 1
Ge4 0.314 0.760 0.414 1
Ge5 0.686 0.240 0.586 1
Ge6 0.686 0.260 0.086 1
Ge7 0.789 0.128 0.472 1
Ge8 0.789 0.372 0.972 1
As1 0.007 0.560 0.751 1
As2 0.007 0.940 0.251 1
As3 0.038 0.686 0.220 1
As4 0.038 0.814 0.720 1
As5 0.497 0.198 0.776 1
As6 0.497 0.302 0.276 1
As7 0.497 0.568 0.242 1
As8 0.497 0.932 0.742 1
As9 0.503 0.068 0.258 1
As10 0.503 0.432 0.758 1
As11 0.503 0.698 0.724 1
As12 0.503 0.802 0.224 1
As13 0.962 0.186 0.280 1
As14 0.962 0.314 0.780 1
As15 0.993 0.060 0.749 1
As16 0.993 0.440 0.249 1